[1]
First-principles (PBE) data for a relaxed structure of Tb2ZrPa, as listed in the Alexandria database.

formation energy from the elements	0.27	eV per atom
DOS at the Fermi energy	5.84	states/eV/f.u.

```
Tb2ZrPa
1.0
1.638 0.946 11.771
-1.638 0.946 11.771
0.000 -1.891 11.771
Tb Zr Pa
2 1 1
Direct
0.090 0.090 0.090 Tb
0.910 0.910 0.910 Tb
0.500 0.500 0.500 Zr
0.000 0.000 0.000 Pa
```

[2]
First-principles (PBE) data for a relaxed structure of Pa3Tc, as listed in the Alexandria database.

formation energy from the elements	0.18	eV per atom
DOS at the Fermi energy	7.46	states/eV/f.u.

```
Pa3Tc
1.0
-1.904 1.904 6.822
1.904 -1.904 6.822
1.904 1.904 -6.822
Pa Tc
3 1
Direct
0.000 0.000 0.000 Pa
0.300 0.300 0.000 Pa
0.700 0.700 0.000 Pa
0.500 0.500 0.000 Tc
```

In eV/cell, the final energy values for the records above are, in order, -26.23; -38.15.